Record 1
Material: Ta2TlAu
Method: DFT, PBE
State: relaxed

Results
* DFT formation energy: 0.622 eV per atom
* calculated volume: 78 Å³/cell
* final energy: -26.9 eV per cell

```
data_Ta2TlAu
_cell_length_a 4.802
_cell_length_b 4.802
_cell_length_c 4.802
_cell_angle_alpha 60.00
_cell_angle_beta 60.00
_cell_angle_gamma 60.00
_symmetry_space_group_name_H-M 'P 1'
_symmetry_Int_Tables_number 1
_symmetry_space_group_name_Hall 'P 1'
loop_
_atom_site_label
_atom_site_type_symbol
_atom_site_fract_x
_atom_site_fract_y
_atom_site_fract_z
Au1 Au 0.500 0.500 0.500
Ta1 Ta 0.000 0.000 0.000
Ta2 Ta 0.250 0.250 0.250
Tl1 Tl 0.750 0.750 0.750
```

=====

Record 2
Material: TaTlAu2
Method: DFT, PBE
State: relaxed

Results
* DFT formation energy: 0.188 eV per atom
* calculated volume: 82 Å³/cell
* final energy: -20.0 eV per cell

```
data_TaTlAu2
_cell_length_a 9.800
_cell_length_b 9.800
_cell_length_c 9.800
_cell_angle_alpha 18.42
_cell_angle_beta 18.42
_cell_angle_gamma 18.42
_symmetry_space_group_name_H-M 'P 1'
_symmetry_Int_Tables_number 1
_symmetry_space_group_name_Hall 'P 1'
loop_
_atom_site_label
_atom_site_type_symbol
_atom_site_fract_x
_atom_site_fract_y
_atom_site_fract_z
Au1 Au 0.993 0.993 0.993
Au2 Au 0.507 0.507 0.507
Ta1 Ta 0.250 0.250 0.250
Tl1 Tl 0.750 0.750 0.750
```

=====

Record 3
Material: TaTlAu2
Method: DFT, PBE
State: relaxed

Results
* DFT formation energy: 0.063 eV per atom
* calculated volume: 82 Å³/cell
* final energy: -20.5 eV per cell

```
data_TaTlAu2
_cell_length_a 3.025
_cell_length_b 3.025
_cell_length_c 8.963
_cell_angle_alpha 90.00
_cell_angle_beta 90.00
_cell_angle_gamma 90.01
_symmetry_space_group_name_H-M 'P 1'
_symmetry_Int_Tables_number 1
_symmetry_space_group_name_Hall 'P 1'
loop_
_atom_site_label
_atom_site_type_symbol
_atom_site_fract_x
_atom_site_fract_y
_atom_site_fract_z
Au1 Au 0.000 0.000 0.037
Au2 Au 0.000 0.000 0.463
Ta1 Ta 0.500 0.500 0.250
Tl1 Tl 0.500 0.500 0.750
```

=====

Record 4
Material: TaTl2Au
Method: DFT, PBE
State: relaxed

Results
* DFT formation energy: 0.282 eV per atom
* calculated volume: 92 Å³/cell
* final energy: -18.7 eV per cell
* excess energy over the best structure of this formula in the dataset: 0.000 eV per atom

```
data_TaTl2Au
_cell_length_a 3.159
_cell_length_b 3.159
_cell_length_c 9.199
_cell_angle_alpha 90.00
_cell_angle_beta 90.00
_cell_angle_gamma 90.00
_symmetry_space_group_name_H-M 'P 1'
_symmetry_Int_Tables_number 1
_symmetry_space_group_name_Hall 'P 1'
loop_
_atom_site_label
_atom_site_type_symbol
_atom_site_fract_x
_atom_site_fract_y
_atom_site_fract_z
Au1 Au 0.000 0.000 0.540
Ta1 Ta 0.500 0.500 0.726
Tl1 Tl 0.000 0.000 0.964
Tl2 Tl 0.500 0.500 0.270
```

=====

Record 5
Material: Ta2TlAu
Method: DFT, PBE
State: relaxed

Results
* DFT formation energy: 0.362 eV per atom
* calculated volume: 77 Å³/cell
* final energy: -27.9 eV per cell

```
data_Ta2TlAu
_cell_length_a 9.933
_cell_length_b 9.933
_cell_length_c 9.933
_cell_angle_alpha 17.52
_cell_angle_beta 17.52
_cell_angle_gamma 17.52
_symmetry_space_group_name_H-M 'P 1'
_symmetry_Int_Tables_number 1
_symmetry_space_group_name_Hall 'P 1'
loop_
_atom_site_label
_atom_site_type_symbol
_atom_site_fract_x
_atom_site_fract_y
_atom_site_fract_z
Au1 Au 0.750 0.750 0.750
Ta1 Ta 0.003 0.003 0.003
Ta2 Ta 0.497 0.497 0.497
Tl1 Tl 0.250 0.250 0.250
```

=====

Record 6
Material: Ta2TlAu
Method: DFT, PBE
State: relaxed

Results
* DFT formation energy: 0.334 eV per atom
* calculated volume: 77 Å³/cell
* final energy: -28.0 eV per cell

```
data_Ta2TlAu
_cell_length_a 4.797
_cell_length_b 2.991
_cell_length_c 5.353
_cell_angle_alpha 86.56
_cell_angle_beta 90.00
_cell_angle_gamma 90.00
_symmetry_space_group_name_H-M 'P 1'
_symmetry_Int_Tables_number 1
_symmetry_space_group_name_Hall 'P 1'
loop_
_atom_site_label
_atom_site_type_symbol
_atom_site_fract_x
_atom_site_fract_y
_atom_site_fract_z
Au1 Au 0.500 0.644 0.779
Ta1 Ta 0.000 0.045 0.982
Ta2 Ta 0.500 0.200 0.262
Tl1 Tl 0.000 0.611 0.477
```

=====

Record 7
Material: Ta2TlAu
Method: DFT, PBE
State: relaxed

Results
* DFT formation energy: 0.462 eV per atom
* calculated volume: 77 Å³/cell
* final energy: -27.5 eV per cell

```
data_Ta2TlAu
_cell_length_a 3.622
_cell_length_b 3.622
_cell_length_c 5.868
_cell_angle_alpha 90.00
_cell_angle_beta 90.00
_cell_angle_gamma 90.00
_symmetry_space_group_name_H-M 'P 1'
_symmetry_Int_Tables_number 1
_symmetry_space_group_name_Hall 'P 1'
loop_
_atom_site_label
_atom_site_type_symbol
_atom_site_fract_x
_atom_site_fract_y
_atom_site_fract_z
Au1 Au 0.500 0.500 0.750
Ta1 Ta 0.000 0.000 0.982
Ta2 Ta 0.000 0.000 0.518
Tl1 Tl 0.500 0.500 0.250
```

=====

Record 8
Material: Ta2TlAu
Method: DFT, PBE
State: relaxed

Results
* DFT formation energy: 0.679 eV per atom
* calculated volume: 167 Å³/cell
* final energy: -53.3 eV per cell

```
data_Ta2TlAu
_cell_length_a 4.011
_cell_length_b 4.011
_cell_length_c 10.792
_cell_angle_alpha 79.29
_cell_angle_beta 79.29
_cell_angle_gamma 90.00
_symmetry_space_group_name_H-M 'P 1'
_symmetry_Int_Tables_number 1
_symmetry_space_group_name_Hall 'P 1'
loop_
_atom_site_label
_atom_site_type_symbol
_atom_site_fract_x
_atom_site_fract_y
_atom_site_fract_z
Tl1 Tl 0.000 0.000 0.000
Tl2 Tl 0.750 0.250 0.500
Au1 Au 0.500 0.500 0.000
Au2 Au 0.250 0.750 0.500
Ta1 Ta 0.625 0.125 0.250
Ta2 Ta 0.125 0.625 0.250
Ta3 Ta 0.375 0.375 0.750
Ta4 Ta 0.875 0.875 0.750
```